1.
A plane-wave DFT calculation with PBE was carried out for crystalline In3CoOs at its relaxed geometry.

Results
Relative energy among the computed polymorphs   0 meV/atom
E_tot   -4.396 eV/atom

a b c (Å): 5.1416 5.1416 5.1416
angles (deg): 90.00 90.00 90.00
Each line ends with the local moment (μB).
Positions (direct):
Os1 0.0000 0.0000 0.0000  0.18
In1 0.0000 0.5000 0.0000  0.01
In2 0.5000 0.0000 0.0000  0.03
In3 0.0000 0.0000 0.5000  0.01
Co1 0.5000 0.5000 0.5000  2.24



2.
A plane-wave DFT calculation with PBE was carried out for crystalline TaMnPt2 at its relaxed geometry.

Results
E_tot   -8.801 eV/atom

a b c (Å): 2.8785 2.8785 7.6333
angles (deg): 90.00 90.00 90.00
Each line ends with the local moment (μB).
Positions (direct):
Pt1 0.0000 0.0000 0.9940  0.19
Pt2 0.0000 0.0000 0.5060  0.19
Ta1 0.5000 0.5000 0.2500  0.03
Mn1 0.5000 0.5000 0.7500  3.84



Look up the E_tot of the second one. -8.801 eV/atom